PBE Ac3Cd2Pb2, relaxed; calculated volume = 240.0 Å³/cell; calculated formation energy = -443 meV per atom; E = -3.5250 eV per atom; space group = C2/m, No. 12; spin magnetization = 0.0000 μB per atom
1.0
5.072 0.000 0.000
-2.536 5.788 -1.989
0.000 0.384 8.043
Ac Cd Pb
3 2 2
direct
0.338 0.677 0.378
0.662 0.323 0.622
0.500 0.000 0.000
0.810 0.619 0.050
0.190 0.381 0.950
0.951 0.901 0.684
0.049 0.099 0.316